Record 1
DFT (GGA-PBE) results for crystalline La2Sm8Al at its relaxed geometry.

```
La2Sm8Al
1.0
9.571 -2.735 0.000
9.571 2.735 0.000
-0.500 0.000 6.956
La Sm Al
2 8 1
Direct
0.222 0.222 0.159
0.778 0.778 0.841
0.034 0.034 0.257
0.158 0.158 0.673
0.346 0.346 0.598
0.413 0.413 0.089
0.587 0.587 0.911
0.654 0.654 0.402
0.842 0.842 0.327
0.966 0.966 0.743
0.500 0.500 0.500
```

Calculated values
Mass density   6.9 g cm⁻³
Volume   364 Å³ per cell
Crystal system   monoclinic
VASP energy   -0.34387 Ry per atom
SG   C2/m (12)

***

Record 2
DFT (GGA-PBE) results for crystalline Cr2MoAs at its relaxed geometry.

```
Cr2MoAs
1.0
3.128 0.000 0.000
0.000 3.128 0.000
0.000 0.000 5.555
Cr Mo As
2 1 1
Direct
0.000 0.000 0.241
0.000 0.000 0.759
0.500 0.500 0.500
0.500 0.500 0.000
```

Calculated values
Mass density   8.4 g cm⁻³
Volume   54 Å³ per cell
Crystal system   tetragonal
VASP energy   -0.63076 Ry per atom
SG   P4/mmm (123)

***

Record 3
DFT (GGA-PBE) results for crystalline PmSmThHg at its relaxed geometry.

```
PmSmThHg
1.0
0.000 3.892 3.892
3.892 0.000 3.892
3.892 3.892 0.000
Pm Sm Th Hg
1 1 1 1
Direct
0.000 0.000 0.000
0.750 0.750 0.750
0.250 0.250 0.250
0.500 0.500 0.500
```

Calculated values
Mass density   10.3 g cm⁻³
Volume   118 Å³ per cell
Crystal system   cubic
VASP energy   -0.31445 Ry per atom
SG   F-43m (216)

***

Record 4
DFT (GGA-PBE) results for crystalline Ac2ReHgO8 at its relaxed geometry.

```
Ac2ReHgO8
1.0
4.946 0.000 0.000
-0.426 4.938 0.000
-0.483 -0.537 8.144
Ac Re Hg O
2 1 1 8
Direct
0.054 0.052 0.256
0.946 0.948 0.744
0.500 0.500 0.500
0.500 0.500 0.000
0.201 0.200 0.984
0.229 0.230 0.550
0.253 0.608 0.335
0.390 0.749 0.664
0.610 0.251 0.336
0.747 0.392 0.665
0.771 0.770 0.450
0.799 0.800 0.016
```

Calculated values
Mass density   8.1 g cm⁻³
Uncorrected formation energy   -2369 kJ/mol of formula units
Volume   199 Å³ per cell
Crystal system   triclinic
VASP energy   -0.52175 Ry per atom
SG   P-1 (2)

***

Record 5
DFT (GGA-PBE) results for crystalline K2ReHg at its relaxed geometry.

```
K2ReHg
1.0
5.947 -1.447 0.000
5.947 1.447 0.000
-0.696 0.000 5.483
K Re Hg
2 1 1
Direct
0.249 0.249 0.246
0.751 0.751 0.754
0.500 0.500 0.000
0.000 0.000 0.500
```

Calculated values
Mass density   8.2 g cm⁻³
Volume   94 Å³ per cell
Crystal system   monoclinic
VASP energy   -0.18928 Ry per atom
SG   C2/m (12)

***

Record 6
DFT (GGA-PBE) results for crystalline SiP2SN at its relaxed geometry.

```
SiP2SN
1.0
4.029 0.000 0.000
0.000 4.029 0.000
0.000 0.000 4.248
Si P S N
1 2 1 1
Direct
0.000 0.000 0.000
0.000 0.500 0.500
0.500 0.000 0.500
0.500 0.500 0.000
0.500 0.500 0.500
```

Calculated values
Mass density   3.3 g cm⁻³
Uncorrected formation energy   518 kJ/mol of formula units
Volume   69 Å³ per cell
Crystal system   tetragonal
VASP energy   -0.34294 Ry per atom
SG   P4/mmm (123)

***

Record 7
DFT (GGA-PBE) results for crystalline LaInTc2 at its relaxed geometry.

```
LaInTc2
1.0
3.448 0.000 0.000
0.000 4.439 0.000
0.000 0.000 5.292
La In Tc
1 1 2
Direct
0.000 0.000 0.000
0.500 0.000 0.500
0.000 0.500 0.500
0.500 0.500 0.000
```

Calculated values
Mass density   9.2 g cm⁻³
Volume   81 Å³ per cell
Crystal system   orthorhombic
VASP energy   -0.48498 Ry per atom
SG   Pmmm (47)

***

Record 8
DFT (GGA-PBE) results for crystalline Tm3P5Se12 at its relaxed geometry.

```
Tm3P5Se12
1.0
-7.910 7.910 7.910
7.910 -7.910 7.910
7.910 7.910 -7.910
Tm P Se
12 20 48
Direct
0.125 0.250 0.375
0.125 0.375 0.750
0.250 0.375 0.125
0.250 0.875 0.625
0.375 0.125 0.250
0.375 0.750 0.125
0.625 0.250 0.875
0.625 0.875 0.750
0.750 0.125 0.375
0.750 0.625 0.875
0.875 0.625 0.250
0.875 0.750 0.625
0.000 0.000 0.000
0.000 0.000 0.500
0.000 0.500 0.000
0.000 0.500 0.500
0.125 0.750 0.875
0.125 0.875 0.250
0.250 0.125 0.875
0.250 0.625 0.375
0.375 0.250 0.625
0.375 0.625 0.750
0.500 0.000 0.000
0.500 0.000 0.500
0.500 0.500 0.000
0.500 0.500 0.500
0.625 0.375 0.250
0.625 0.750 0.375
0.750 0.375 0.625
0.750 0.875 0.125
0.875 0.125 0.750
0.875 0.250 0.125
0.038 0.211 0.130
0.038 0.328 0.909
0.081 0.711 0.672
0.081 0.870 0.409
0.091 0.630 0.419
0.091 0.962 0.672
0.130 0.038 0.211
0.130 0.591 0.919
0.172 0.211 0.581
0.172 0.462 0.591
0.211 0.130 0.038
0.211 0.581 0.172
0.289 0.328 0.919
0.289 0.462 0.370
0.328 0.909 0.038
0.328 0.919 0.289
0.370 0.289 0.462
0.370 0.581 0.909
0.409 0.081 0.870
0.409 0.828 0.538
0.419 0.091 0.630
0.419 0.828 0.789
0.462 0.370 0.289
0.462 0.591 0.172
0.538 0.409 0.828
0.538 0.630 0.711
0.581 0.172 0.211
0.581 0.909 0.370
0.591 0.172 0.462
0.591 0.919 0.130
0.630 0.419 0.091
0.630 0.711 0.538
0.672 0.081 0.711
0.672 0.091 0.962
0.711 0.538 0.630
0.711 0.672 0.081
0.789 0.419 0.828
0.789 0.870 0.962
0.828 0.538 0.409
0.828 0.789 0.419
0.870 0.409 0.081
0.870 0.962 0.789
0.909 0.038 0.328
0.909 0.370 0.581
0.919 0.130 0.591
0.919 0.289 0.328
0.962 0.672 0.091
0.962 0.789 0.870
```

Calculated values
Mass density   5.4 g cm⁻³
Uncorrected formation energy   -944 kJ/mol of formula units
Volume   1980 Å³ per cell
Crystal system   cubic
VASP energy   -0.33833 Ry per atom
SG   Ia-3d (230)

***

volume of number 5 (K2ReHg)?
94 Å³ per cell

***

Among the records above, which one has the highest mass density?
PmSmThHg

***

Which value of VASP energy does entry 6 give?
-0.34294 Ry per atom